# 1
Computed, not measured: an optimized crystal structure of Mg2NiMo at the PBE level of DFT. Values from VASP.

## Properties
- ΔE_f: 0.25 eV per formula unit
- Energy above the lowest structure with this stoichiometry: 0.0000 eV/atom
- Theoretical density: 5.11 Mg/m³
- M_tot: 0.0 Bohr magnetons per cell

Cell and atoms, written as Quantum ESPRESSO input:
```
&SYSTEM
  ibrav = 0, nat = 4, ntyp = 3
/
ATOMIC_SPECIES
Mg 24.30 Mg.upf
Ni 58.69 Ni.upf
Mo 95.94 Mo.upf
ATOMIC_POSITIONS crystal
Mg 0.0000 0.0000 0.0000
Mg 0.5000 0.5000 0.3187
Ni 0.5000 0.5000 0.7833
Mo 0.0000 0.0000 0.5854
CELL_PARAMETERS angstrom
2.8642 0.0000 0.0000
0.0000 2.8642 0.0000
0.0000 0.0000 8.0440
```

***

# 2
Computed, not measured: an optimized crystal structure of MgZrAs at the PBE level of DFT. Values from VASP.

## Properties
- ΔE_f: -0.59 eV per formula unit
- Theoretical density: 5.02 Mg/m³
- M_tot: 0.0 Bohr magnetons per cell

Cell and atoms, written as Quantum ESPRESSO input:
```
&SYSTEM
  ibrav = 0, nat = 3, ntyp = 3
/
ATOMIC_SPECIES
Mg 24.30 Mg.upf
Zr 91.22 Zr.upf
As 74.92 As.upf
ATOMIC_POSITIONS crystal
Mg 0.0000 0.0000 0.0000
Zr 0.6667 0.3333 0.3704
As 0.3333 0.6667 0.6827
CELL_PARAMETERS angstrom
3.2162 0.0000 0.0000
-1.6081 2.7854 0.0000
0.0000 0.0000 7.0287
```

***

# 3
Computed, not measured: an optimized crystal structure of ZrCu at the PBE level of DFT. Values from VASP.

## Properties
- ΔE_f: 2.06 eV per formula unit
- Theoretical density: 5.14 Mg/m³
- M_tot: 0.3 Bohr magnetons per cell

Cell and atoms, written as Quantum ESPRESSO input:
```
&SYSTEM
  ibrav = 0, nat = 2, ntyp = 2
/
ATOMIC_SPECIES
Zr 91.22 Zr.upf
Cu 63.55 Cu.upf
ATOMIC_POSITIONS crystal
Zr 0.0000 0.0000 0.0000
Cu 0.2500 0.2500 0.2500
CELL_PARAMETERS angstrom
0.0000 2.9233 2.9233
2.9233 0.0000 2.9233
2.9233 2.9233 0.0000
```

***

# 4
Computed, not measured: an optimized crystal structure of ZnSiAg at the PBE level of DFT. Values from VASP.

## Properties
- Energy above the lowest structure with this stoichiometry: 0.0711 eV/atom
- Theoretical density: 6.88 Mg/m³
- Formation energy without anion corrections: 0.250 eV per atom
- M_tot: 0.0 Bohr magnetons per cell

Cell and atoms, written as Quantum ESPRESSO input:
```
&SYSTEM
  ibrav = 0, nat = 3, ntyp = 3
/
ATOMIC_SPECIES
Zn 65.41 Zn.upf
Si 28.09 Si.upf
Ag 107.87 Ag.upf
ATOMIC_POSITIONS crystal
Zn 0.0000 0.0000 0.0000
Si 0.6608 0.6608 0.0000
Ag 0.3324 0.3324 0.0000
CELL_PARAMETERS angstrom
-1.4397 1.9834 4.2539
1.4397 -1.9834 4.2539
1.4397 1.9834 -4.2539
```

***

# 5
Computed, not measured: an optimized crystal structure of Zr3Ge at the PBE level of DFT. Values from VASP.

## Properties
- ΔE_f: -1.43 eV per formula unit
- Theoretical density: 6.98 Mg/m³
- M_tot: 0.0 Bohr magnetons per cell

Cell and atoms, written as Quantum ESPRESSO input:
```
&SYSTEM
  ibrav = 0, nat = 8, ntyp = 2
/
ATOMIC_SPECIES
Zr 91.22 Zr.upf
Ge 72.64 Ge.upf
ATOMIC_POSITIONS crystal
Zr 0.1706 0.3412 0.2500
Zr 0.1706 0.8294 0.2500
Zr 0.3412 0.1706 0.7500
Zr 0.6588 0.8294 0.2500
Zr 0.8294 0.1706 0.7500
Zr 0.8294 0.6588 0.7500
Ge 0.3333 0.6667 0.7500
Ge 0.6667 0.3333 0.2500
CELL_PARAMETERS angstrom
6.1465 0.0000 0.0000
-3.0733 5.3231 0.0000
0.0000 0.0000 5.0346
```

***

# 6
Computed, not measured: an optimized crystal structure of PmSm2Ho6Sc3 at the PBE level of DFT. Values from VASP.

## Properties
- ΔE_f: 0.55 eV per formula unit
- Theoretical density: 7.24 Mg/m³
- M_tot: 0.0 Bohr magnetons per cell

Cell and atoms, written as Quantum ESPRESSO input:
```
&SYSTEM
  ibrav = 0, nat = 12, ntyp = 4
/
ATOMIC_SPECIES
Pm 145.00 Pm.upf
Sm 150.36 Sm.upf
Ho 164.93 Ho.upf
Sc 44.96 Sc.upf
ATOMIC_POSITIONS crystal
Pm 0.0000 0.0000 0.0000
Sm 0.3334 0.6666 0.0000
Sm 0.6666 0.3334 0.0000
Ho 0.0874 0.4207 0.2613
Ho 0.2460 0.2460 0.7387
Ho 0.4207 0.0874 0.2613
Ho 0.5793 0.9126 0.7387
Ho 0.7540 0.7540 0.2613
Ho 0.9126 0.5793 0.7387
Sc 0.1667 0.8333 0.5000
Sc 0.5000 0.5000 0.5000
Sc 0.8333 0.1667 0.5000
CELL_PARAMETERS angstrom
3.0317 -5.2477 0.0000
3.0317 5.2477 0.0000
-2.0154 0.0000 11.3177
```

***

# 7
Computed, not measured: an optimized crystal structure of ZrMn2Al at the PBE level of DFT. Values from VASP.

## Properties
- ΔE_f: 0.04 eV per formula unit
- Theoretical density: 5.95 Mg/m³
- M_tot: 4.8 Bohr magnetons per cell

Cell and atoms, written as Quantum ESPRESSO input:
```
&SYSTEM
  ibrav = 0, nat = 4, ntyp = 3
/
ATOMIC_SPECIES
Zr 91.22 Zr.upf
Mn 54.94 Mn.upf
Al 26.98 Al.upf
ATOMIC_POSITIONS crystal
Zr 0.0000 0.0000 0.0000
Mn 0.2422 0.2422 0.7229
Mn 0.7578 0.7578 0.2771
Al 0.5000 0.5000 0.5000
CELL_PARAMETERS angstrom
4.3923 -1.5041 0.0000
4.3923 1.5041 0.0000
-1.1168 0.0000 4.8204
```

***

# 8
Computed, not measured: an optimized crystal structure of ZnSi3I at the PBE level of DFT. Values from VASP.

## Properties
- Energy above the lowest structure with this stoichiometry: 0.0000 eV/atom
- Theoretical density: 4.04 Mg/m³
- Formation energy without anion corrections: 0.964 eV per atom
- M_tot: 0.0 Bohr magnetons per cell

Cell and atoms, written as Quantum ESPRESSO input:
```
&SYSTEM
  ibrav = 0, nat = 5, ntyp = 3
/
ATOMIC_SPECIES
Zn 65.41 Zn.upf
Si 28.09 Si.upf
I 126.90 I.upf
ATOMIC_POSITIONS crystal
Zn 0.0000 0.0000 0.0000
Si 0.0000 0.0000 0.5000
Si 0.0000 0.5000 0.0000
Si 0.5000 0.0000 0.0000
I 0.5000 0.5000 0.5000
CELL_PARAMETERS angstrom
4.8444 0.0000 0.0000
0.0000 4.8444 0.0000
0.0000 0.0000 4.8444
```

***

# 9
Computed, not measured: an optimized crystal structure of AcHg2Pd at the PBE level of DFT. Values from VASP.

## Properties
- ΔE_f: -1.70 eV per formula unit
- Energy above the lowest structure with this stoichiometry: 0.1565 eV/atom
- Theoretical density: 11.61 Mg/m³
- M_tot: 0.0 Bohr magnetons per cell

Cell and atoms, written as Quantum ESPRESSO input:
```
&SYSTEM
  ibrav = 0, nat = 4, ntyp = 3
/
ATOMIC_SPECIES
Ac 227.00 Ac.upf
Hg 200.59 Hg.upf
Pd 106.42 Pd.upf
ATOMIC_POSITIONS crystal
Ac 0.0000 0.0000 0.0000
Hg 0.2193 0.2193 0.2193
Hg 0.7807 0.7807 0.7807
Pd 0.5000 0.5000 0.5000
CELL_PARAMETERS angstrom
2.4095 1.3911 5.2239
-2.4095 1.3911 5.2239
0.0000 -2.7822 5.2239
```

***

# 10
Computed, not measured: an optimized crystal structure of PuMgSe2 at the PBE level of DFT. Values from VASP.

## Properties
- Energy above the lowest structure with this stoichiometry: 0.0721 eV/atom
- Theoretical density: 7.52 Mg/m³
- Formation energy without anion corrections: -1.267 eV per atom
- M_tot: 6.0 Bohr magnetons per cell

Cell and atoms, written as Quantum ESPRESSO input:
```
&SYSTEM
  ibrav = 0, nat = 4, ntyp = 3
/
ATOMIC_SPECIES
Pu 244.00 Pu.upf
Mg 24.30 Mg.upf
Se 78.96 Se.upf
ATOMIC_POSITIONS crystal
Pu 0.0000 0.0000 0.0000
Mg 0.1680 0.1680 0.1680
Se 0.5733 0.5733 0.5733
Se 0.7586 0.7586 0.7586
CELL_PARAMETERS angstrom
1.9681 1.1363 7.0152
-1.9681 1.1363 7.0152
0.0000 -2.2725 7.0152
```

***

# 11
Computed, not measured: an optimized crystal structure of CaMg3Zn at the PBE level of DFT. Values from VASP.

## Properties
- ΔE_f: 0.23 eV per formula unit
- Energy above the lowest structure with this stoichiometry: 0.1641 eV/atom
- Theoretical density: 2.23 Mg/m³
- M_tot: 0.0 Bohr magnetons per cell

Cell and atoms, written as Quantum ESPRESSO input:
```
&SYSTEM
  ibrav = 0, nat = 5, ntyp = 3
/
ATOMIC_SPECIES
Ca 40.08 Ca.upf
Mg 24.30 Mg.upf
Zn 65.41 Zn.upf
ATOMIC_POSITIONS crystal
Ca 0.0000 0.0000 0.0000
Mg 0.0000 0.5000 0.5000
Mg 0.5000 0.0000 0.5000
Mg 0.5000 0.5000 0.0000
Zn 0.5000 0.5000 0.5000
CELL_PARAMETERS angstrom
5.1031 0.0000 0.0000
0.0000 5.1031 0.0000
0.0000 0.0000 5.1031
```

***

# 12
Computed, not measured: an optimized crystal structure of CsTlAuO2 at the PBE level of DFT. Values from VASP.

## Properties
- Theoretical density: 7.40 Mg/m³
- Formation energy without anion corrections: -0.617 eV per atom
- M_tot: 0.0 Bohr magnetons per cell

Cell and atoms, written as Quantum ESPRESSO input:
```
&SYSTEM
  ibrav = 0, nat = 10, ntyp = 4
/
ATOMIC_SPECIES
Cs 132.91 Cs.upf
Tl 204.38 Tl.upf
Au 196.97 Au.upf
O 16.00 O.upf
ATOMIC_POSITIONS crystal
Cs 0.2500 0.7500 0.7564
Cs 0.7500 0.2500 0.2436
Tl 0.2500 0.2500 0.5000
Tl 0.7500 0.7500 0.5000
Au 0.0000 0.0000 0.0000
Au 0.5000 0.5000 0.0000
O 0.0962 0.9038 0.2966
O 0.4038 0.5962 0.2966
O 0.5962 0.4038 0.7034
O 0.9038 0.0962 0.7034
CELL_PARAMETERS angstrom
3.4963 -6.6925 0.0000
3.4963 6.6925 0.0000
0.0000 0.0000 5.4308
```

***

Number 1: DOS(E_F) 0.65 states/eV per atom. Number 2: DOS(E_F) 0.52 states/eV per atom. Number 3: DOS(E_F) 1.87 states/eV per atom. Number 4: DOS(E_F) 0.35 states/eV per atom. Number 5: DOS(E_F) 0.70 states/eV per atom. Number 6: DOS(E_F) 1.47 states/eV per atom. Number 7: DOS(E_F) 0.89 states/eV per atom. Number 8: DOS(E_F) 0.87 states/eV per atom. Number 9: DOS(E_F) 0.90 states/eV per atom. Number 10: DOS(E_F) 2.71 states/eV per atom. Number 11: DOS(E_F) 1.09 states/eV per atom. Number 12: DOS(E_F) 0.44 states/eV per atom.